[1]
Material: LiPm2HfAs4
Method: DFT, GGA-PBE
State: optimized geometry

abc: 4.061 7.196 6.845
angles: 109.87 90.00 90.00
Sites, in units of the cell vectors:
As  0.500  0.237  0.225
Li  0.500  0.500  0.000
As  0.000  0.750  0.224
As  0.000  0.250  0.776
As  0.500  0.763  0.775
Pm  0.500  0.000  0.500
Pm  0.000  0.500  0.500
Hf  0.000  0.000  0.000

Properties
Total moment, μB per formula unit: 0.000
Formation energy from the elements, meV/atom: -1028
Space-group type: P2/m (10)



[2]
Material: HfMnTc2
Method: DFT, GGA-PBE
State: optimized geometry

abc: 7.102 7.102 5.654
angles: 51.10 51.10 90.00
Sites, in units of the cell vectors:
Tc  0.375  0.431  0.750
Tc  0.875  0.819  0.750
Tc  0.569  0.125  0.250
Tc  0.181  0.625  0.250
Hf  0.750  0.250  0.500
Mn  0.250  0.750  0.500
Hf  0.000  0.000  0.000
Mn  0.500  0.500  0.000

Properties
Total moment, μB per formula unit: 0.000
Formation energy from the elements, meV/atom: 355
Space-group type: I-42d (122)



[3]
Material: Ti2Mn2Ag
Method: DFT, GGA-PBE
State: optimized geometry

abc: 3.099 3.099 8.465
angles: 79.45 79.45 90.00
Sites, in units of the cell vectors:
Ag  0.000  0.000  0.000
Ti  0.618  0.618  0.764
Mn  0.250  0.750  0.500
Ti  0.382  0.382  0.236
Mn  0.750  0.250  0.500

Properties
Total moment, μB per formula unit: 0.000
Formation energy from the elements, meV/atom: 310
Space-group type: I4/mmm (139)